Record 1
BiSbIr2, optimized geometry, DFT PBE; E_form (uncorrected) = 0.413 eV per atom; space group = I-42d; Fermi-level density of states = 2.09 states/eV/f.u.; crystal system = tetragonal; total magnetic moment = 0.00 Bohr magnetons per cell
1.0
6.005 0.000 0.000
0.000 6.005 0.000
3.003 3.003 6.054
Sb Ir Bi
2 4 2
direct
0.250 0.750 0.500
0.500 0.500 0.000
0.375 0.390 0.750
0.140 0.625 0.250
0.610 0.125 0.250
0.875 0.860 0.750
0.000 0.000 0.000
0.750 0.250 0.500

Record 2
BiSb2Ir2, optimized geometry, DFT PBE; ΔE to the lowest computed polymorph = 0 meV/atom; E_form (uncorrected) = 0.146 eV per atom; space group = P4/mbm; Fermi-level density of states = 2.87 states/eV/f.u.; crystal system = tetragonal; total magnetic moment = 0.00 Bohr magnetons per cell
1.0
-6.603 -1.089 4.452
4.520 -2.847 6.007
0.308 3.004 1.192
Ir Sb Bi
4 4 2
direct
0.131 0.369 0.000
0.369 0.869 0.000
0.869 0.631 0.000
0.631 0.131 0.000
0.151 0.651 0.500
0.849 0.349 0.500
0.349 0.151 0.500
0.651 0.849 0.500
0.500 0.500 0.000
0.000 0.000 0.000

Record 3
Bi2Sb2Ir, optimized geometry, DFT PBE; E_form (uncorrected) = 0.160 eV per atom; space group = P4/mbm; Fermi-level density of states = 3.58 states/eV/f.u.; crystal system = tetragonal; total magnetic moment = 0.00 Bohr magnetons per cell
1.0
-3.588 2.883 4.944
0.674 -5.582 3.745
5.353 2.338 2.521
Sb Ir Bi
4 2 4
direct
0.650 0.150 0.000
0.150 0.350 0.000
0.350 0.850 0.000
0.850 0.650 0.000
0.000 0.000 0.000
0.500 0.500 0.000
0.816 0.684 0.500
0.684 0.184 0.500
0.184 0.316 0.500
0.316 0.816 0.500

Record 4
BiSb2Ir2, optimized geometry, DFT PBE; ΔE to the lowest computed polymorph = 38 meV/atom; E_form (uncorrected) = 0.184 eV per atom; space group = I4/mmm; Fermi-level density of states = 4.49 states/eV/f.u.; crystal system = tetragonal; total magnetic moment = 0.00 Bohr magnetons per cell
1.0
-0.138 3.828 -2.126
-2.435 1.701 3.220
3.543 4.467 3.299
Sb Ir Bi
2 2 1
direct
0.250 0.750 0.500
0.750 0.250 0.500
0.386 0.386 0.229
0.614 0.614 0.771
0.000 0.000 0.000

Record 5
BiSbIrSe2, optimized geometry, DFT PBE; E_form (uncorrected) = 1.596 eV per atom; space group = P4/mmm; Fermi-level density of states = 7.50 states/eV/f.u.; crystal system = tetragonal; total magnetic moment = 2.35 Bohr magnetons per cell
1.0
-3.856 3.622 0.549
-2.936 -3.669 3.585
2.538 2.066 4.192
Bi Ir Se Sb
1 1 2 1
direct
0.000 0.000 0.000
0.500 0.500 0.500
0.000 0.000 0.500
0.500 0.000 0.000
0.000 0.500 0.000

Record 6
BiSbTe2Ir, optimized geometry, DFT PBE; ΔE to the lowest computed polymorph = 0 meV/atom; E_form (uncorrected) = 0.375 eV per atom; space group = P4/mmm; Fermi-level density of states = 5.92 states/eV/f.u.; crystal system = tetragonal; total magnetic moment = 0.00 Bohr magnetons per cell
1.0
-4.649 -2.745 -0.751
2.568 -3.853 -1.813
0.419 -2.083 5.019
Ir Sb Bi Te
1 1 1 2
direct
0.000 0.000 0.000
0.000 0.500 0.000
0.500 0.500 0.500
0.000 0.000 0.500
0.500 0.000 0.000

Record 7
BiSbTe2Ir, optimized geometry, DFT PBE; ΔE to the lowest computed polymorph = 1362 meV/atom; E_form (uncorrected) = 1.737 eV per atom; space group = P4/mmm; Fermi-level density of states = 7.89 states/eV/f.u.; crystal system = tetragonal; total magnetic moment = 2.24 Bohr magnetons per cell
1.0
5.811 0.000 0.000
0.000 5.811 0.000
0.000 0.000 5.778
Te Ir Sb Bi
2 1 1 1
direct
0.000 0.500 0.000
0.500 0.000 0.000
0.500 0.500 0.500
0.000 0.000 0.500
0.000 0.000 0.000

Record 8
ZrBi2SbIr, optimized geometry, DFT PBE; E_form (uncorrected) = 1.129 eV per atom; space group = P4/mmm; Fermi-level density of states = 7.68 states/eV/f.u.; crystal system = tetragonal; total magnetic moment = 0.00 Bohr magnetons per cell
1.0
5.717 0.000 0.000
0.000 4.809 0.000
0.000 0.000 5.717
Ir Sb Bi Zr
1 1 2 1
direct
0.000 0.500 0.000
0.000 0.000 0.000
0.000 0.000 0.500
0.500 0.000 0.000
0.500 0.500 0.500